TcOsSe2 after structural relaxation, computed with GGA-PBE.

Summary:
- uncorrected energy (eV per atom) = -6.8895
- SG = No. 8
- calculated volume (Å³/f.u.) = 94.26

Cell lengths 5.0705, 5.0705, 6.3653 Å; angles 84.36, 84.36, 35.39 degrees
With the nearest neighbours (Å) after each atom.
Atoms (fractional coordinates):
Tc1 0.4757 0.4757 0.3934  4 Se 2.44-2.64, 2 Os 2.59
Se1 0.0342 0.0342 0.1002  2 Tc 2.44, 1 Os 2.46
Se2 0.7978 0.7978 0.6259  2 Os 2.49, 2 Tc 2.64
Os1 0.1922 0.1922 0.3805  3 Se 2.46-2.49, 3 Tc 2.59-2.75

---

TcOs2Se after structural relaxation, computed with GGA-PBE.

Summary:
- uncorrected energy (eV per atom) = -8.4725
- SG = No. 47
- calculated volume (Å³/f.u.) = 60.79

Cell lengths 2.8535, 3.7635, 5.6609 Å; angles 90.00, 90.00, 90.00 degrees
With the nearest neighbours (Å) after each atom.
Atoms (fractional coordinates):
Os1 0.0000 0.0000 0.5168  3 Os 2.64-2.85, 4 Tc 2.71, 4 Se 2.80
Os2 0.0000 0.0000 0.9832  3 Os 2.64-2.85, 4 Tc 2.71, 4 Se 2.80
Se1 0.5000 0.5000 0.2500  8 Os 2.80, 2 Tc 2.83, 2 Se 2.85
Tc1 0.5000 0.5000 0.7500  8 Os 2.71, 2 Se 2.83, 2 Tc 2.85

---

TcOsSe2 after structural relaxation, computed with GGA-PBE.

Summary:
- uncorrected energy (eV per atom) = -7.0770
- SG = No. 99
- calculated volume (Å³/f.u.) = 73.89

Cell lengths 2.9568, 2.9568, 8.4515 Å; angles 90.00, 90.00, 90.00 degrees
With the nearest neighbours (Å) after each atom.
Atoms (fractional coordinates):
Se1 0.5000 0.5000 0.3343  4 Tc 2.56
Se2 0.0000 0.0000 0.9166  4 Os 2.56
Tc1 0.0000 0.0000 0.5082  4 Se 2.56
Os1 0.5000 0.5000 0.7408  4 Se 2.56, 4 Tc 2.87

---

Tc3OsSe after structural relaxation, computed with GGA-PBE.

Summary:
- uncorrected energy (eV per atom) = -7.3687
- SG = No. 221
- calculated volume (Å³/f.u.) = 106.24

Cell lengths 4.7362, 4.7362, 4.7362 Å; angles 90.00, 90.00, 90.00 degrees
With the nearest neighbours (Å) after each atom.
Atoms (fractional coordinates):
Tc1 0.0000 0.0000 0.5000  2 Os 2.37
Tc2 0.5000 0.0000 0.0000  2 Os 2.37
Tc3 0.0000 0.5000 0.0000  2 Os 2.37
Se1 0.5000 0.5000 0.5000  12 Tc 3.35
Os1 0.0000 0.0000 0.0000  6 Tc 2.37

---

TcOsSe2 after structural relaxation, computed with GGA-PBE.

Summary:
- uncorrected energy (eV per atom) = -6.1915
- SG = No. 216
- calculated volume (Å³/f.u.) = 65.31

Cell lengths 4.5204, 4.5204, 4.5204 Å; angles 60.00, 60.00, 60.00 degrees
With the nearest neighbours (Å) after each atom.
Atoms (fractional coordinates):
Se1 0.0000 0.0000 0.0000  4 Tc 2.77, 4 Se 2.77
Se2 0.2500 0.2500 0.2500  4 Se 2.77, 4 Os 2.77
Os1 0.5000 0.5000 0.5000  4 Se 2.77, 4 Tc 2.77
Tc1 0.7500 0.7500 0.7500  4 Se 2.77, 4 Os 2.77

---

TcOs2Se after structural relaxation, computed with GGA-PBE.

Summary:
- uncorrected energy (eV per atom) = -8.4355
- SG = No. 47
- calculated volume (Å³/f.u.) = 60.06

Cell lengths 2.8762, 4.5646, 4.5749 Å; angles 90.00, 90.00, 90.00 degrees
With the nearest neighbours (Å) after each atom.
Atoms (fractional coordinates):
Os1 0.5000 0.5000 0.0000  6 Os 2.70-2.88, 4 Tc 2.70
Os2 0.0000 0.0000 0.0000  6 Os 2.70-2.88, 4 Se 2.70
Se1 0.5000 0.0000 0.5000  4 Tc 2.70, 4 Os 2.70, 2 Se 2.88
Tc1 0.0000 0.5000 0.5000  4 Se 2.70, 4 Os 2.70, 2 Tc 2.88

---

TcOsSe after structural relaxation, computed with GGA-PBE.

Summary:
- uncorrected energy (eV per atom) = -8.0441
- SG = No. 107
- calculated volume (Å³/f.u.) = 45.46

Cell lengths 5.5826, 5.5826, 5.5826 Å; angles 149.21, 149.21, 44.10 degrees
With the nearest neighbours (Å) after each atom.
Atoms (fractional coordinates):
Tc1 0.6633 0.6633 0.0000  4 Os 2.65, 4 Se 2.72, 4 Tc 2.96
Os1 0.0065 0.0065 0.0000  4 Tc 2.65, 4 Se 2.78, 4 Os 2.96
Se1 0.3302 0.3302 0.0000  4 Tc 2.72, 4 Os 2.78, 4 Se 2.96

---

TcOsSe after structural relaxation, computed with GGA-PBE.

Summary:
- uncorrected energy (eV per atom) = -7.6393
- SG = No. 42
- calculated volume (Å³/f.u.) = 49.17

Cell lengths 7.6778, 7.4224, 2.7874 Å; angles 84.57, 74.24, 21.19 degrees
With the nearest neighbours (Å) after each atom.
Atoms (fractional coordinates):
Se1 0.3279 0.3279 0.6721  6 Se 2.79-2.80, 2 Tc 2.84, 2 Os 3.05
Os1 0.0138 0.0138 0.9862  2 Tc 2.53, 6 Os 2.79-2.80
Tc1 0.6583 0.6583 0.3417  2 Os 2.53, 6 Tc 2.79-2.80

---

TcOs2Se after structural relaxation, computed with GGA-PBE.

Summary:
- uncorrected energy (eV per atom) = -8.7043
- SG = No. 160
- calculated volume (Å³/f.u.) = 59.38

Cell lengths 8.6031, 8.6031, 8.6031 Å; angles 19.06, 19.06, 19.06 degrees
With the nearest neighbours (Å) after each atom.
Atoms (fractional coordinates):
Se1 0.4980 0.4980 0.4980  3 Tc 2.58, 3 Os 2.71, 6 Se 2.85
Os1 0.9997 0.9997 0.9997  9 Os 2.68-2.85, 3 Tc 2.74
Os2 0.2496 0.2496 0.2496  9 Os 2.68-2.85, 3 Se 2.71
Tc1 0.7527 0.7527 0.7527  3 Se 2.58, 3 Os 2.74, 6 Tc 2.85

---

TcOs2Se after structural relaxation, computed with GGA-PBE.

Summary:
- uncorrected energy (eV per atom) = -8.6607
- SG = No. 12
- calculated volume (Å³/f.u.) = 61.05

Cell lengths 5.0409, 5.0409, 4.4092 Å; angles 88.09, 88.09, 33.04 degrees
With the nearest neighbours (Å) after each atom.
Atoms (fractional coordinates):
Tc1 0.7500 0.7500 0.7500  4 Se 2.63, 6 Os 2.75-2.92, 2 Tc 2.87
Se1 0.2500 0.2500 0.2500  2 Os 2.47, 4 Tc 2.63
Os1 0.0288 0.0288 0.9842  1 Se 2.47, 2 Os 2.59, 2 Tc 2.75
Os2 0.4712 0.4712 0.5158  1 Se 2.47, 2 Os 2.59, 2 Tc 2.75

---

TcOsSe after structural relaxation, computed with GGA-PBE.

Summary:
- uncorrected energy (eV per atom) = -7.7993
- SG = No. 216
- calculated volume (Å³/f.u.) = 52.98

Cell lengths 4.2158, 4.2158, 4.2158 Å; angles 60.00, 60.00, 60.00 degrees
With the nearest neighbours (Å) after each atom.
Atoms (fractional coordinates):
Os1 0.0000 0.0000 0.0000  4 Tc 2.58
Se1 0.5000 0.5000 0.5000  4 Tc 2.58
Tc1 0.7500 0.7500 0.7500  4 Se 2.58, 4 Os 2.58

---

TcOsSe4 after structural relaxation, computed with GGA-PBE.

Summary:
- uncorrected energy (eV per atom) = -4.2597
- SG = No. 216
- calculated volume (Å³/f.u.) = 115.81

Cell lengths 5.4713, 5.4713, 5.4713 Å; angles 60.00, 60.00, 60.00 degrees
With the nearest neighbours (Å) after each atom.
Atoms (fractional coordinates):
Se1 0.3745 0.3745 0.3745  6 Se 2.72-2.75
Se2 0.3745 0.8766 0.3745  6 Se 2.72-2.75
Se3 0.3745 0.3745 0.8766  6 Se 2.72-2.75
Se4 0.8766 0.3745 0.3745  6 Se 2.72-2.75
Os1 0.0000 0.0000 0.0000  12 Se 3.21, 4 Tc 3.35
Tc1 0.7500 0.7500 0.7500  12 Se 3.21, 4 Os 3.35

---

TcOs2Se after structural relaxation, computed with GGA-PBE.

Summary:
- uncorrected energy (eV per atom) = -8.2938
- SG = No. 35
- calculated volume (Å³/f.u.) = 62.92

Cell lengths 2.7552, 2.7552, 9.4973 Å; angles 90.00, 90.00, 119.22 degrees
With the nearest neighbours (Å) after each atom.
Atoms (fractional coordinates):
Se1 0.0000 0.0000 0.5134  2 Tc 2.72, 6 Se 2.76-2.79, 2 Os 3.02
Os1 0.0000 0.0000 0.9960  8 Os 2.64-2.79, 2 Tc 2.65
Os2 0.5000 0.5000 0.2315  8 Os 2.64-2.79
Tc1 0.5000 0.5000 0.7592  2 Os 2.65, 2 Se 2.72, 6 Tc 2.76-2.79

---

TcOsSe2 after structural relaxation, computed with GGA-PBE.

Summary:
- uncorrected energy (eV per atom) = -6.9483
- SG = No. 6
- calculated volume (Å³/f.u.) = 80.72

Cell lengths 3.9560, 2.8818, 7.5222 Å; angles 70.26, 90.00, 90.00 degrees
With the nearest neighbours (Å) after each atom.
Atoms (fractional coordinates):
Se1 0.0000 0.9529 0.9047  2 Os 2.54, 1 Tc 2.65
Se2 0.5000 0.0486 0.3497  1 Os 2.51, 2 Tc 2.59
Tc1 0.0000 0.5630 0.5503  3 Se 2.59-2.65, 4 Os 2.65, 2 Tc 2.88
Os1 0.5000 0.9356 0.6952  3 Se 2.51-2.54, 4 Tc 2.65

---

TcOs2Se after structural relaxation, computed with GGA-PBE.

Summary:
- uncorrected energy (eV per atom) = -8.5421
- SG = No. 25
- calculated volume (Å³/f.u.) = 61.46

Cell lengths 2.8728, 3.8916, 5.4977 Å; angles 90.00, 90.00, 90.00 degrees
With the nearest neighbours (Å) after each atom.
Atoms (fractional coordinates):
Se1 0.0000 0.0000 0.5498  4 Tc 2.57, 2 Os 2.66-2.84, 2 Se 2.87
Os1 0.0000 0.0000 0.0341  6 Os 2.60-2.87, 2 Se 2.66-2.84
Os2 0.5000 0.5000 0.2073  6 Os 2.60-2.87, 2 Tc 2.74-2.76
Tc1 0.5000 0.5000 0.7088  4 Se 2.57, 2 Os 2.74-2.76, 2 Tc 2.87

---

Number 1: formation energy from raw total energies 0.252 eV per atom. Number 2: formation energy from raw total energies 0.605 eV per atom. Number 3: formation energy from raw total energies 0.064 eV per atom. Number 4: formation energy from raw total energies 1.794 eV per atom. Number 5: formation energy from raw total energies 0.950 eV per atom. Number 6: formation energy from raw total energies 0.642 eV per atom. Number 7: formation energy from raw total energies 0.316 eV per atom. Number 8: formation energy from raw total energies 0.721 eV per atom. Number 9: formation energy from raw total energies 0.373 eV per atom. Number 10: formation energy from raw total energies 0.417 eV per atom. Number 11: formation energy from raw total energies 0.561 eV per atom. Number 12: formation energy from raw total energies 1.663 eV per atom. Number 13: formation energy from raw total energies 0.784 eV per atom. Number 14: formation energy from raw total energies 0.193 eV per atom. Number 15: formation energy from raw total energies 0.535 eV per atom.